# 1
The following is a DFT calculation (PBE) of an optimized crystal structure of BiPbI3.

Output
As for the energy relative to the lowest polymorph listed for this composition: 0.00 eV/f.u.

Structure (CIF):
```
data_BiPbI3
_space_group_name_H-M_alt 'P m -3 m'
_space_group_IT_number 221
_space_group_name_Hall '-P 4 2 3'
_cell_length_a 6.1862
_cell_length_b 6.1862
_cell_length_c 6.1862
_cell_angle_alpha 90.00
_cell_angle_beta 90.00
_cell_angle_gamma 90.00
loop_
_atom_site_label
_atom_site_type_symbol
_atom_site_fract_x
_atom_site_fract_y
_atom_site_fract_z
Bi1 Bi 0.0000 0.0000 0.0000
Pb1 Pb 0.5000 0.5000 0.5000
I1 I 0.0000 0.0000 0.5000
```



# 2
The following is a DFT calculation (PBE) of an optimized crystal structure of BiPbI.

Output
As for the energy relative to the lowest polymorph listed for this composition: 0.00 eV/f.u.

Structure (CIF):
```
data_BiPbI
_space_group_name_H-M_alt 'P 1 21/m 1'
_space_group_IT_number 11
_cell_length_a 6.6213
_cell_length_b 4.3417
_cell_length_c 9.0335
_cell_angle_alpha 90.00
_cell_angle_beta 105.91
_cell_angle_gamma 90.00
loop_
_space_group_symop_operation_xyz
'x,y,z'
'-x,-y,-z'
'-x,y+1/2,-z'
'x,-y+1/2,z'
loop_
_atom_site_label
_atom_site_type_symbol
_atom_site_fract_x
_atom_site_fract_y
_atom_site_fract_z
Bi1 Bi 0.1303 0.2500 0.4391
Pb1 Pb 0.1715 0.2500 0.8112
I1 I 0.3001 0.7500 0.1307
```



# 3
The following is a DFT calculation (PBE) of an optimized crystal structure of BiPbI2.

Output
As for the energy relative to the lowest polymorph listed for this composition: 0.00 eV/f.u.

Structure (CIF):
```
data_BiPbI2
_space_group_name_H-M_alt 'I -4 2 d'
_space_group_IT_number 122
_space_group_name_Hall 'I -4 2bw'
_cell_length_a 9.0461
_cell_length_b 9.0461
_cell_length_c 7.4497
_cell_angle_alpha 90.00
_cell_angle_beta 90.00
_cell_angle_gamma 90.00
loop_
_atom_site_label
_atom_site_type_symbol
_atom_site_fract_x
_atom_site_fract_y
_atom_site_fract_z
Bi1 Bi 0.0000 0.0000 0.0000
Pb1 Pb 0.0000 0.0000 0.5000
I1 I 0.2493 0.2500 0.1250
```



# 4
The following is a DFT calculation (PBE) of an optimized crystal structure of Bi2Pb3I.

Output
The value obtained for the energy is -3.44 eV/atom.

Structure (CIF):
```
data_Bi2Pb3I
_space_group_name_H-M_alt 'C 1 2/m 1'
_space_group_IT_number 12
_cell_length_a 23.6700
_cell_length_b 4.5886
_cell_length_c 8.9639
_cell_angle_alpha 90.00
_cell_angle_beta 106.51
_cell_angle_gamma 90.00
loop_
_space_group_symop_operation_xyz
'x,y,z'
'-x,-y,-z'
'-x,y,-z'
'x,-y,z'
'x+1/2,y+1/2,z'
'-x+1/2,-y+1/2,-z'
'-x+1/2,y+1/2,-z'
'x+1/2,-y+1/2,z'
loop_
_atom_site_label
_atom_site_type_symbol
_atom_site_fract_x
_atom_site_fract_y
_atom_site_fract_z
Bi1 Bi 0.0736 0.0000 0.4906
Bi2 Bi 0.1953 0.5000 0.4758
Pb1 Pb 0.0362 0.0000 0.8189
Pb2 Pb 0.0674 0.5000 0.2247
Pb3 Pb 0.2156 0.0000 0.7468
I1 I 0.1565 0.5000 0.9606
```